# CdMoCl2F, relaxed, DFT PBE with a Hubbard U
data_CdMoCl2F
_space_group_name_H-M_alt 'P 1'
_space_group_IT_number 1
_cell_length_a 5.277
_cell_length_b 4.295
_cell_length_c 5.277
_cell_angle_alpha 90.00
_cell_angle_beta 90.00
_cell_angle_gamma 90.00
loop_
_space_group_symop_operation_xyz
'x,y,z'
loop_
_atom_site_label
_atom_site_type_symbol
_atom_site_fract_x
_atom_site_fract_y
_atom_site_fract_z
Mo1 Mo 0.500 0.500 0.500
Cl1 Cl 0.000 0.000 0.500
Cl2 Cl 0.500 0.000 0.000
F1 F 0.000 0.500 0.000
Cd1 Cd 0.000 0.000 0.000
# Total energy ... -3.4202 eV/atom